Record 1
Ca2OsCl: relaxed, GGA-PBE.

Computed properties:
- Uncorrected formation energy: 7 kJ per mole of atoms
- Size of the total moment: 1.0 Bohr magnetons per cell
- Final energy: -4.197 eV per atom

a = 6.436 Å, b = 6.436 Å, c = 6.436 Å
α = 143.18°, β = 143.18°, γ = 53.06°
Sites, in units of the cell vectors:
Ca (0.000, 0.000, 0.000)
Ca (0.750, 0.250, 0.500)
Os (0.500, 0.500, 0.000)
Cl (0.250, 0.750, 0.500)

---

Record 2
CoIrRu3: relaxed, GGA-PBE.

Computed properties:
- ΔE_f: 7.8 eV/f.u.
- Size of the total moment: 0.0 Bohr magnetons per cell
- Final energy: -7.195 eV per atom

a = 4.314 Å, b = 4.314 Å, c = 4.314 Å
α = 90.00°, β = 90.00°, γ = 90.00°
Sites, in units of the cell vectors:
Co (0.000, 0.000, 0.000)
Ir (0.500, 0.500, 0.500)
Ru (0.000, 0.000, 0.500)
Ru (0.000, 0.500, 0.000)
Ru (0.500, 0.000, 0.000)

---

Record 3
Cd7Hg3Bi: relaxed, GGA-PBE.

Computed properties:
- ΔE_f: 0.6 eV/f.u.
- Size of the total moment: 0.0 Bohr magnetons per cell
- Final energy: -0.959 eV per atom

a = 7.491 Å, b = 7.491 Å, c = 5.977 Å
α = 109.49°, β = 109.49°, γ = 93.42°
Sites, in units of the cell vectors:
Cd (0.000, 0.000, 0.000)
Cd (0.090, 0.558, 0.333)
Cd (0.329, 0.329, 0.933)
Cd (0.442, 0.910, 0.667)
Cd (0.558, 0.090, 0.333)
Cd (0.671, 0.671, 0.067)
Cd (0.910, 0.442, 0.667)
Hg (0.267, 0.733, 0.000)
Hg (0.500, 0.500, 0.500)
Hg (0.733, 0.267, 0.000)
Bi (0.000, 0.000, 0.500)

---

Record 4
CrAgBiRu2: relaxed, GGA-PBE.

Computed properties:
- ΔE_f: 5.6 eV/f.u.
- Size of the total moment: 0.0 Bohr magnetons per cell
- Final energy: -5.860 eV per atom

a = 4.474 Å, b = 4.474 Å, c = 5.032 Å
α = 90.00°, β = 90.00°, γ = 90.00°
Sites, in units of the cell vectors:
Cr (0.000, 0.000, 0.000)
Ag (0.500, 0.500, 0.500)
Bi (0.000, 0.000, 0.500)
Ru (0.000, 0.500, 0.000)
Ru (0.500, 0.000, 0.000)

---

Record 5
TaBSbTe2: relaxed, GGA-PBE.

Computed properties:
- Uncorrected formation energy: 117 kJ per mole of atoms
- Size of the total moment: 0.0 Bohr magnetons per cell
- Final energy: -4.571 eV per atom

a = 5.374 Å, b = 5.374 Å, c = 5.434 Å
α = 90.00°, β = 90.00°, γ = 90.00°
Sites, in units of the cell vectors:
Ta (0.000, 0.000, 0.000)
B (0.500, 0.500, 0.500)
Sb (0.000, 0.000, 0.500)
Te (0.000, 0.500, 0.000)
Te (0.500, 0.000, 0.000)

---

Record 6
Li2Hg2Pt: relaxed, GGA-PBE.

Computed properties:
- ΔE_f: -1.8 eV/f.u.
- Size of the total moment: 0.0 Bohr magnetons per cell
- Final energy: -2.452 eV per atom

a = 5.009 Å, b = 5.009 Å, c = 6.491 Å
α = 129.57°, β = 129.57°, γ = 48.28°
Sites, in units of the cell vectors:
Li (0.214, 0.214, 0.117)
Li (0.786, 0.786, 0.883)
Hg (0.415, 0.415, 0.711)
Hg (0.585, 0.585, 0.289)
Pt (0.000, 0.000, 0.500)